The following is a PBE calculation of a relaxed HfZrNb crystal, from Alexandria via LeMat-Bulk.

Calculated values
Symmetry: Pnma
Calculated total energy in eV per atom: -8.8683
Energy above the most stable polymorph in this dataset in meV per atom: 577
E_form in eV per atom: 0.655
M_tot in Bohr magnetons per cell: 0.00

```
HfZrNb
1.0
-3.165 2.426 2.402
-4.090 -0.233 -5.155
-3.631 -7.946 3.240
Hf Nb Zr
4 4 4
direct
0.250 0.999 0.877
0.250 0.501 0.377
0.750 0.499 0.623
0.750 0.001 0.123
0.750 0.750 0.375
0.250 0.250 0.125
0.750 0.750 0.875
0.250 0.250 0.625
0.750 0.501 0.126
0.250 0.001 0.374
0.750 0.999 0.626
0.250 0.499 0.874
```